No. 1
# PmDy7Th3

A relaxed structure of PmDy7Th3 (GGA-PBE, Alexandria).

a = 6.308 Å, b = 7.674 Å, c = 7.662 Å
α = 82.14°, β = 94.57°, γ = 94.64°
Element x y z (fractional)
1 Th 0.000 0.825 0.175
2 Th 0.500 0.000 0.000
3 Th 0.000 0.175 0.825
4 Dy 0.795 0.768 0.768
5 Dy 0.739 0.423 0.076
6 Dy 0.261 0.577 0.924
7 Dy 0.205 0.232 0.232
8 Dy 0.000 0.500 0.500
9 Dy 0.739 0.077 0.423
10 Dy 0.261 0.923 0.577
11 Pm 0.500 0.500 0.500

The energy relative to the lowest polymorph listed for this composition is 0.0359 eV/atom. The energy of formation comes out at 0.25 eV/atom. The calculation puts the volume at 33.21 A^3/atom.



No. 2
# Th2PaNi6

A relaxed structure of Th2PaNi6 (GGA-PBE, Alexandria).

a = 3.506 Å, b = 7.728 Å, c = 7.728 Å
α = 52.86°, β = 76.89°, γ = 76.89°
Element x y z (fractional)
1 Ni 0.000 0.796 0.204
2 Ni 0.173 0.142 0.511
3 Ni 0.173 0.511 0.142
4 Ni 0.827 0.858 0.489
5 Ni 0.000 0.204 0.796
6 Ni 0.827 0.489 0.858
7 Th 0.644 0.856 0.856
8 Th 0.356 0.144 0.144
9 Pa 0.500 0.500 0.500

The energy relative to the lowest polymorph listed for this composition is 0.1402 eV/atom. The energy of formation comes out at -0.23 eV/atom. The calculation puts the volume at 17.94 A^3/atom.



No. 3
# NaLa3Se2Br6

A relaxed structure of NaLa3Se2Br6 (GGA-PBE, Alexandria).

a = 6.595 Å, b = 8.867 Å, c = 8.594 Å
α = 121.05°, β = 92.44°, γ = 90.00°
Element x y z (fractional)
1 Br 0.759 0.836 0.172
2 Br 0.759 0.336 0.172
3 Br 0.241 0.664 0.828
4 Br 0.241 0.164 0.828
5 Br 0.743 0.839 0.679
6 Br 0.257 0.161 0.321
7 Se 0.265 0.667 0.333
8 Se 0.735 0.333 0.667
9 La 0.000 0.500 0.000
10 La 0.500 0.500 0.500
11 La 0.500 0.000 0.500
12 Na 0.500 0.000 0.000

The calculation puts the volume at 35.83 A^3/atom. Its raw formation energy is -1.8595 eV per atom.



No. 4
# CsThCuSe4

A relaxed structure of CsThCuSe4 (GGA-PBE, Alexandria).

a = 7.376 Å, b = 5.786 Å, c = 10.233 Å
α = 90.00°, β = 104.68°, γ = 90.00°
Element x y z (fractional)
1 Cu 0.269 0.750 0.333
2 Cu 0.731 0.250 0.667
3 Se 0.000 0.010 0.309
4 Se 0.000 0.990 0.691
5 Se 0.000 0.490 0.309
6 Se 0.410 0.750 0.576
7 Se 0.529 0.250 0.813
8 Se 0.590 0.250 0.424
9 Se 0.000 0.510 0.691
10 Se 0.471 0.750 0.187
11 Th 0.732 0.750 0.446
12 Th 0.268 0.250 0.554
13 Cs 0.765 0.750 0.958
14 Cs 0.235 0.250 0.042

The calculation puts the volume at 30.18 A^3/atom. Its raw formation energy is -1.1038 eV per atom.



No. 5
# Er5Tm6Sc2

A relaxed structure of Er5Tm6Sc2 (GGA-PBE, Alexandria).

a = 3.491 Å, b = 11.251 Å, c = 19.851 Å
α = 90.00°, β = 90.00°, γ = 90.00°
Element x y z (fractional)
1 Tm 0.000 0.062 0.082
2 Tm 0.000 0.586 0.130
3 Tm 0.000 0.438 0.582
4 Tm 0.000 0.914 0.630
5 Tm 0.000 0.938 0.918
6 Tm 0.000 0.414 0.870
7 Tm 0.500 0.170 0.643
8 Tm 0.500 0.830 0.357
9 Tm 0.500 0.670 0.857
10 Tm 0.000 0.562 0.418
11 Tm 0.500 0.330 0.143
12 Tm 0.000 0.086 0.370
13 Er 0.500 0.304 0.448
14 Er 0.500 0.196 0.948
15 Er 0.500 0.000 0.500
16 Er 0.500 0.580 0.271
17 Er 0.500 0.804 0.052
18 Er 0.500 0.920 0.771
19 Er 0.500 0.080 0.229
20 Er 0.500 0.696 0.552
21 Er 0.500 0.420 0.729
22 Er 0.500 0.500 0.000
23 Sc 0.000 0.671 0.707
24 Sc 0.000 0.829 0.207
25 Sc 0.000 0.171 0.793
26 Sc 0.000 0.329 0.293

The energy of formation comes out at 0.12 eV/atom. The calculation puts the volume at 29.99 A^3/atom.



No. 6
# TaTlFe

A relaxed structure of TaTlFe (GGA-PBE, Alexandria).

a = 4.328 Å, b = 4.328 Å, c = 4.328 Å
α = 60.00°, β = 60.00°, γ = 60.00°
Each line ends with the local moment (μB).
Element x y z (fractional)
1 Ta 0.000 0.000 0.000  -0.20
2 Tl 0.500 0.500 0.500  0.07
3 Fe 0.750 0.750 0.750  1.77

The energy of formation comes out at 0.58 eV/atom. The calculation puts the volume at 19.11 A^3/atom.



| no. | electronic total energy (Ry per atom) |
| --- | --- |
| 1 | -0.3774 |
| 2 | -0.4992 |
| 3 | -0.3395 |
| 4 | -0.3574 |
| 5 | -0.3436 |
| 6 | -0.5127 |